Material: DyHfCS
Method: DFT, PBE
State: relaxed

Computed properties:
For the uncorrected energy, the calculation gives -8.271 eV/atom. As for the crystal system: hexagonal. For the spin magnetization, the calculation gives 0.0 μB per formula unit.

Cell lengths 3.5059, 3.5059, 12.5794 Å; angles 90.00, 90.00, 120.00 degrees
Last column: nearest neighbours and their distance in Å.
Sites, in units of the cell vectors:
C (0.0000, 0.0000, 0.4872)  3 Hf 2.31, 3 Dy 2.50
C (0.0000, 0.0000, 0.9872)  3 Hf 2.31, 3 Dy 2.50
Dy (0.6667, 0.3333, 0.1037)  3 C 2.50
Dy (0.3333, 0.6667, 0.6037)  3 C 2.50
Hf (0.6667, 0.3333, 0.3989)  3 C 2.31
Hf (0.3333, 0.6667, 0.8989)  3 C 2.31
S (0.3333, 0.6667, 0.2603)  3 Hf 2.67, 3 Dy 2.82
S (0.6667, 0.3333, 0.7603)  3 Hf 2.67, 3 Dy 2.82